# 1
Hf2MnGa6 | PBE-GGA | optimized geometry

abc: 5.8331 5.8331 5.5302
angles: 98.90 98.90 55.15
With the nearest neighbours (Å) after each atom.
Fractional coordinates of all 9 atoms:
Hf 0.1350 0.1350 0.3497  9 Ga 2.80-3.12
Hf 0.8650 0.8650 0.6503  9 Ga 2.80-3.12
Mn 0.5000 0.5000 0.5000  6 Ga 2.41-2.47
Ga 0.1206 0.6409 0.1679  1 Mn 2.47, 3 Ga 2.59-2.69
Ga 0.3382 0.3382 0.7651  1 Mn 2.41, 4 Ga 2.61-2.69
Ga 0.3591 0.8794 0.8321  1 Mn 2.47, 3 Ga 2.59-2.69
Ga 0.6409 0.1206 0.1679  1 Mn 2.47, 3 Ga 2.59-2.69
Ga 0.6618 0.6618 0.2349  1 Mn 2.41, 4 Ga 2.61-2.69
Ga 0.8794 0.3591 0.8321  1 Mn 2.47, 3 Ga 2.59-2.69

Output
ΔE_f, eV per atom: -0.275

=====

# 2
Pb2WBr | PBE-GGA | optimized geometry

abc: 4.2202 4.2202 12.4588
angles: 90.00 90.00 90.00
With the nearest neighbours (Å) after each atom.
Fractional coordinates of all 8 atoms:
Pb 0.0000 0.0000 0.0000  4 Br 2.98
Pb 0.0000 0.5000 0.2500  4 W 2.98
Pb 0.5000 0.0000 0.7500  4 W 2.98
Pb 0.5000 0.5000 0.5000  4 Br 2.98
W 0.0000 0.5000 0.7500  4 Pb 2.98
W 0.5000 0.0000 0.2500  4 Pb 2.98
Br 0.0000 0.0000 0.5000  4 Pb 2.98
Br 0.5000 0.5000 0.0000  4 Pb 2.98

Output
Relative energy among the computed polymorphs, eV/f.u.: 2.24
Formation energy from raw total energies, eV per formula unit: 4.2

=====

# 3
SrAgH6Pd | PBE-GGA | optimized geometry

abc: 4.9060 4.9060 4.5717
angles: 90.00 90.00 120.00
With the nearest neighbours (Å) after each atom.
Fractional coordinates of all 9 atoms:
Sr 0.0000 0.0000 0.0000  12 H 2.70
Ag 0.3333 0.6667 0.5000  6 H 1.92
H 0.5129 0.0257 0.2454  1 Pd 1.75, 1 Ag 1.92
H 0.5129 0.0257 0.7546  1 Pd 1.75, 1 Ag 1.92
H 0.5129 0.4871 0.2454  1 Pd 1.75, 1 Ag 1.92
H 0.5129 0.4871 0.7546  1 Pd 1.75, 1 Ag 1.92
H 0.9743 0.4871 0.2454  1 Pd 1.75, 1 Ag 1.92
H 0.9743 0.4871 0.7546  1 Pd 1.75, 1 Ag 1.92
Pd 0.6667 0.3333 0.5000  6 H 1.75

Output
E_tot, eV per atom: -3.487